The following is a DFT calculation (GGA-PBE) of an optimized crystal structure of GdHfCuTc.

a b c (Å): 4.7459 4.7459 4.7459
angles (deg): 60.00 60.00 60.00
With the nearest neighbours (Å) after each atom.
Fractional positions:
Gd  0.5000  0.5000  0.5000  4 Cu 2.91, 4 Tc 2.91
Hf  0.0000  0.0000  0.0000  4 Tc 2.91, 4 Cu 2.91
Tc  0.2500  0.2500  0.2500  4 Gd 2.91, 4 Hf 2.91
Cu  0.7500  0.7500  0.7500  4 Gd 2.91, 4 Hf 2.91

magnetic moment: 7.25 μB per formula unit
formation energy: -0.56 eV per formula unit
calculated density: 10.925 Mg/m³
calculated volume: 18.896 A^3/atom